No. 1
# U2Sn2Rh7 | Alexandria | GGA-PBE | relaxed
data_U2Sn2Rh7
_chemical_formula_sum 'U4 Sn4 Rh14'
_space_group_name_H-M_alt 'C 1 2/m 1'
_space_group_IT_number 12
_space_group_name_Hall '-C 2y'
_cell_length_a 8.864
_cell_length_b 7.221
_cell_length_c 6.662
_cell_angle_alpha 90.00
_cell_angle_beta 102.07
_cell_angle_gamma 90.00
loop_
_atom_site_label
_atom_site_type_symbol
_atom_site_fract_x
_atom_site_fract_y
_atom_site_fract_z
U1 U 0.229 0.000 0.080
Sn1 Sn 0.000 0.303 0.500
Rh1 Rh 0.000 0.500 0.000
Rh2 Rh 0.007 0.000 0.736
Rh3 Rh 0.220 0.293 0.270
# energy of formation from the pure elements = -0.36 eV per atom



No. 2
# RhCl3 | Alexandria | GGA-PBE | relaxed
data_RhCl3
_chemical_formula_sum 'Rh4 Cl12'
_space_group_name_H-M_alt 'F m -3 m'
_space_group_IT_number 225
_space_group_name_Hall '-F 4 2 3'
_cell_length_a 6.667
_cell_length_b 6.667
_cell_length_c 6.667
_cell_angle_alpha 90.00
_cell_angle_beta 90.00
_cell_angle_gamma 90.00
loop_
_atom_site_label
_atom_site_type_symbol
_atom_site_fract_x
_atom_site_fract_y
_atom_site_fract_z
Rh1 Rh 0.000 0.000 0.000
Cl1 Cl 0.000 0.000 0.500
Cl2 Cl 0.250 0.250 0.250
# formation energy (no corrections) = 0.6534 eV per atom



No. 3
# Ga3NiRh2 | Alexandria | GGA-PBE | relaxed
data_Ga3NiRh2
_chemical_formula_sum 'Ga3 Ni1 Rh2'
_space_group_name_H-M_alt 'P 4/m m m'
_space_group_IT_number 123
_space_group_name_Hall '-P 4 2'
_cell_length_a 2.990
_cell_length_b 2.990
_cell_length_c 9.095
_cell_angle_alpha 90.00
_cell_angle_beta 90.00
_cell_angle_gamma 90.00
loop_
_atom_site_label
_atom_site_type_symbol
_atom_site_fract_x
_atom_site_fract_y
_atom_site_fract_z
Ga1 Ga 0.000 0.000 0.000
Ga2 Ga 0.000 0.000 0.344
Ni1 Ni 0.500 0.500 0.500
Rh1 Rh 0.500 0.500 0.171
# energy of formation from the pure elements = -0.56 eV per atom
# energy above the lowest structure with this stoichiometry = 0.0000 eV per atom



no.,DFT total energy (eV/cell),DOS(E_F) (states/eV/cell)
1,-172.07,11.49
2,-41.11,19.74
3,-32.95,2.85